Record 1
## LuInGa2 (GGA-PBE)

Data for a relaxed LuInGa2 crystal.

The structure belongs to space group P4/mmm (No. 123); the cell edges are 3.678, 3.678 and 6.474 Å and the angles 90.00°, 90.00° and 90.00°. The inequivalent atoms are Lu at (0.000, 0.000, 0.000), In at (0.000, 0.000, 0.500) and Ga at (0.500, 0.500, 0.260).

Its final energy is -3.5658 eV/atom. The volume comes out at 88 Å³/f.u. The value obtained for the energy above the most stable polymorph in this dataset is 177.0 meV per atom. As for the formation energy: -237.5 meV/atom. The magnetization is 0.000 μB per atom. For the density of states at the Fermi level, the calculation gives 2.18 states/eV/f.u.

***

Record 2
## LuIn2Ga (GGA-PBE)

Data for a relaxed LuIn2Ga crystal.

The structure belongs to space group R-3m (No. 166, hexagonal axes); the cell edges are 3.3771, 3.3771 and 32.6962 Å and the angles 90.00°, 90.00° and 120.00°. The inequivalent atoms are Lu at (0.0000, 0.0000, 0.0000), In at (0.0000, 0.0000, 0.0946) and Ga at (0.0000, 0.0000, 0.5000).

Its final energy is -3.1230 eV/atom. The volume comes out at 108 Å³/f.u. The value obtained for the energy above the most stable polymorph in this dataset is 495.9 meV per atom. As for the formation energy: 133.2 meV/atom. The magnetization is 0.000 μB per atom. For the density of states at the Fermi level, the calculation gives 2.51 states/eV/f.u.

***

Record 3
## LuIn2Ga (GGA-PBE)

Data for a relaxed LuIn2Ga crystal.

The structure belongs to space group P4/mmm (No. 123); the cell edges are 4.422, 4.422 and 4.632 Å and the angles 90.00°, 90.00° and 90.00°. The inequivalent atoms are Lu at (0.000, 0.000, 0.000), In at (0.000, 0.500, 0.500) and Ga at (0.500, 0.500, 0.000).

Its final energy is -3.6188 eV/atom. The volume comes out at 91 Å³/f.u. The value obtained for the energy above the most stable polymorph in this dataset is 0.0 meV per atom. As for the formation energy: -362.6 meV/atom. The magnetization is 0.000 μB per atom. For the density of states at the Fermi level, the calculation gives 1.37 states/eV/f.u.

***

Record 4
## LuInGa2 (GGA-PBE)

Data for a relaxed LuInGa2 crystal.

The structure belongs to space group P4/mmm (No. 123); the cell edges are 4.431, 4.431 and 4.224 Å and the angles 90.00°, 90.00° and 90.00°. The inequivalent atoms are Lu at (0.000, 0.000, 0.000), In at (0.500, 0.500, 0.000) and Ga at (0.000, 0.500, 0.500).

Its final energy is -3.7429 eV/atom. The volume comes out at 83 Å³/f.u. The value obtained for the energy above the most stable polymorph in this dataset is 0.0 meV per atom. As for the formation energy: -414.6 meV/atom. The magnetization is 0.000 μB per atom. For the density of states at the Fermi level, the calculation gives 1.61 states/eV/f.u.

***

Record 5
## LuInGa4 (GGA-PBE)

Data for a relaxed LuInGa4 crystal.

The structure belongs to space group F-43m (No. 216); the cell edges are 7.860, 7.860 and 7.860 Å and the angles 90.00°, 90.00° and 90.00°. The inequivalent atoms are Lu at (0.000, 0.000, 0.000), In at (0.250, 0.250, 0.250) and Ga at (0.126, 0.126, 0.626).

Its final energy is -3.4096 eV/atom. The volume comes out at 121 Å³/f.u. As for the formation energy: -181.7 meV/atom. The magnetization is 0.000 μB per atom. For the density of states at the Fermi level, the calculation gives 4.86 states/eV/f.u.

***

Record 6
## LuIn2Ga (GGA-PBE)

Data for a relaxed LuIn2Ga crystal.

The structure belongs to space group P4/mmm (No. 123); the cell edges are 3.763, 3.763 and 6.707 Å and the angles 90.00°, 90.00° and 90.00°. The inequivalent atoms are Lu at (0.000, 0.000, 0.000), In at (0.500, 0.500, 0.273) and Ga at (0.000, 0.000, 0.500).

Its final energy is -3.4544 eV/atom. The volume comes out at 95 Å³/f.u. The value obtained for the energy above the most stable polymorph in this dataset is 164.4 meV per atom. As for the formation energy: -198.2 meV/atom. The magnetization is 0.000 μB per atom. For the density of states at the Fermi level, the calculation gives 3.23 states/eV/f.u.

***

Record 7
## PrLuInGa (GGA-PBE)

Data for a relaxed PrLuInGa crystal.

The structure belongs to space group F-43m (No. 216); the cell edges are 7.433, 7.433 and 7.433 Å and the angles 90.00°, 90.00° and 90.00°. The inequivalent atoms are Pr at (0.000, 0.000, 0.000), Lu at (0.000, 0.000, 0.500), In at (0.250, 0.250, 0.750) and Ga at (0.250, 0.250, 0.250).

Its final energy is -4.2299 eV/atom. The volume comes out at 103 Å³/f.u. As for the formation energy: -463.4 meV/atom. The magnetization is 0.000 μB per atom. For the density of states at the Fermi level, the calculation gives 1.00 states/eV/f.u.

***

Record 8
## LuInGaPt (GGA-PBE)

Data for a relaxed LuInGaPt crystal.

The structure belongs to space group F-43m (No. 216); the cell edges are 6.807, 6.807 and 6.807 Å and the angles 90.00°, 90.00° and 90.00°. The inequivalent atoms are Lu at (0.000, 0.000, 0.000), In at (0.000, 0.000, 0.500), Ga at (0.250, 0.250, 0.250) and Pt at (0.250, 0.250, 0.750).

Its final energy is -4.7310 eV/atom. The volume comes out at 79 Å³/f.u. As for the formation energy: -649.2 meV/atom. The magnetization is 0.000 μB per atom. For the density of states at the Fermi level, the calculation gives 2.93 states/eV/f.u.

***

Record 9
## LuInGaRu (GGA-PBE)

Data for a relaxed LuInGaRu crystal.

The structure belongs to space group F-43m (No. 216); the cell edges are 6.650, 6.650 and 6.650 Å and the angles 90.00°, 90.00° and 90.00°. The inequivalent atoms are Lu at (0.000, 0.000, 0.000), In at (0.250, 0.250, 0.250), Ga at (0.250, 0.250, 0.750) and Ru at (0.000, 0.000, 0.500).

Its final energy is -5.1556 eV/atom. The volume comes out at 74 Å³/f.u. As for the formation energy: -265.0 meV/atom. The magnetization is 0.000 μB per atom. For the density of states at the Fermi level, the calculation gives 2.90 states/eV/f.u.

***

Record 10
## LuScInGa (GGA-PBE)

Data for a relaxed LuScInGa crystal.

The structure belongs to space group F-43m (No. 216); the cell edges are 7.087, 7.087 and 7.087 Å and the angles 90.00°, 90.00° and 90.00°. The inequivalent atoms are Lu at (0.000, 0.000, 0.000), Sc at (0.000, 0.000, 0.500), In at (0.250, 0.250, 0.250) and Ga at (0.250, 0.250, 0.750).

Its final energy is -4.6050 eV/atom. The volume comes out at 89 Å³/f.u. As for the formation energy: -450.6 meV/atom. The magnetization is 0.000 μB per atom. For the density of states at the Fermi level, the calculation gives 1.98 states/eV/f.u.

***

Record 11
## SrLuInGa (GGA-PBE)

Data for a relaxed SrLuInGa crystal.

The structure belongs to space group F-43m (No. 216); the cell edges are 7.585, 7.585 and 7.585 Å and the angles 90.00°, 90.00° and 90.00°. The inequivalent atoms are Sr at (0.000, 0.000, 0.000), Lu at (0.000, 0.000, 0.500), In at (0.250, 0.250, 0.250) and Ga at (0.250, 0.250, 0.750).

Its final energy is -3.3351 eV/atom. The volume comes out at 109 Å³/f.u. As for the formation energy: -343.0 meV/atom. The magnetization is 0.000 μB per atom. For the density of states at the Fermi level, the calculation gives 2.15 states/eV/f.u.

***

Record 12
## LuThInGa (GGA-PBE)

Data for a relaxed LuThInGa crystal.

The structure belongs to space group F-43m (No. 216); the cell edges are 7.431, 7.431 and 7.431 Å and the angles 90.00°, 90.00° and 90.00°. The inequivalent atoms are Lu at (0.000, 0.000, 0.000), Th at (0.000, 0.000, 0.500), In at (0.250, 0.250, 0.750) and Ga at (0.250, 0.250, 0.250).

Its final energy is -4.7656 eV/atom. The volume comes out at 103 Å³/f.u. As for the formation energy: -339.0 meV/atom. The magnetization is 0.001 μB per atom. For the density of states at the Fermi level, the calculation gives 4.29 states/eV/f.u.